Computed, not measured: a relaxed structure of Sm3ScRh4 at the GGA-PBE level of DFT.

The calculation puts the energy of formation from the pure elements at -0.76 eV/atom. Its crystal system is tetragonal. The volume is 161.9 Å³/f.u. As for the raw total energy: -6.9933 eV/atom.

Unit cell a=3.3720 b=3.3720 c=14.2427 alpha=90.00 beta=90.00 gamma=90.00
With the nearest neighbours (Å) after each atom.
Space group P4/mmm (No. 123)
One atom of each set of equivalent atoms:
Sm (0.0000, 0.0000, 0.0000) x1  8 Rh 3.02, 4 Sm 3.37
Sm (0.0000, 0.0000, 0.2587) x2  8 Rh 3.01-3.04
Sc (0.0000, 0.0000, 0.5000) x1  8 Rh 2.84
Rh (0.5000, 0.5000, 0.1297) x2  8 Sm 3.01-3.02
Rh (0.5000, 0.5000, 0.3912) x2  4 Sc 2.84, 4 Sm 3.04, 1 Rh 3.10